Computed, not measured: a relaxed structure of VGa2TcOs at the GGA-PBE level of DFT.

Cell: 4.6941 4.6941 4.6909 Å, 90.00 90.00 90.00°
Last column: nearest neighbours and their distance in Å.
Positions (direct):
1 V 0.0000 0.0000 0.0000  2 Os 2.35
2 Ga 0.0000 0.5000 0.5000  2 Os 2.35
3 Ga 0.5000 0.0000 0.5000  2 Os 2.35
4 Tc 0.5000 0.5000 0.0000  8 Ga 3.32, 4 V 3.32
5 Os 0.0000 0.0000 0.5000  2 V 2.35, 4 Ga 2.35

Computed properties:
ΔE_f = 5.13 eV per formula unit
N(E_F) = 4.3 states/eV per cell
magnetization = 0.321 μB per atom

Computed, not measured: a relaxed structure of GaTcOsW at the GGA-PBE level of DFT.

Cell: 4.3792 4.3792 4.3792 Å, 60.00 60.00 60.00°
Last column: nearest neighbours and their distance in Å.
Positions (direct):
1 Ga 0.0000 0.0000 0.0000  4 Tc 2.68, 4 Os 2.68
2 Tc 0.7500 0.7500 0.7500  4 W 2.68, 4 Ga 2.68
3 Os 0.2500 0.2500 0.2500  4 W 2.68, 4 Ga 2.68
4 W 0.5000 0.5000 0.5000  4 Tc 2.68, 4 Os 2.68

Computed properties:
ΔE_f = -0.31 eV per formula unit
N(E_F) = 1.8 states/eV per cell
magnetization = 0.000 μB per atom